The following is a DFT calculation (PBE-GGA) of a relaxed Ag3HgO4 crystal.

The structure in POSCAR format:
```
Ag3HgO4
1.0
6.176 0.192 -1.466
-2.874 5.470 1.466
-4.016 -1.452 4.700
Ag Hg O
3 1 4
Cartesian
-0.453 0.264 3.087
0.041 -0.024 0.061
-0.179 3.898 1.735
-3.404 1.985 3.143
-5.437 3.170 4.963
-1.371 0.800 1.325
1.757 0.439 1.678
-2.390 3.724 3.144
```

Its total energy is -3.47 eV per atom. As for the space group: Immm. The size of the total moment comes out at 0.00 μB per formula unit.



The following is a DFT calculation (PBE-GGA) of a relaxed Tb3Pm4Sm3 crystal.

The structure in POSCAR format:
```
Tb3Pm4Sm3
1.0
-1.269 -3.066 -1.864
6.457 1.422 -6.734
6.101 -5.411 4.749
Tb Pm Sm
3 4 3
Cartesian
9.310 -4.697 1.390
3.070 -2.715 2.377
5.528 -5.783 1.864
6.325 -1.106 -2.487
6.233 -2.886 0.506
10.932 -3.468 -1.736
1.627 -0.512 -0.265
5.762 -1.272 -5.716
3.510 -2.851 -1.585
7.779 -4.207 -2.260
```

As for the space group: Amm2. The size of the total moment comes out at 0.00 μB per formula unit. The calculation puts the energy of formation at 0.1047 eV/atom.



The following is a DFT calculation (PBE-GGA) of a relaxed Ca6YSe8 crystal.

The structure in POSCAR format:
```
Ca6YSe8
1.0
7.279 0.000 4.202
2.426 6.862 4.202
0.000 0.000 8.405
Ca Y Se
6 1 8
Cartesian
1.213 3.431 6.303
3.639 0.000 2.101
4.852 3.431 4.202
0.000 0.000 4.202
1.213 3.431 2.101
3.639 0.000 6.303
0.000 0.000 0.000
7.279 5.147 12.607
2.426 1.716 4.202
6.105 1.660 6.236
3.600 5.202 10.573
2.348 1.660 8.405
7.357 5.202 8.405
6.105 1.660 10.573
3.600 5.202 6.236
```

Its total energy is -4.97 eV per atom. As for the space group: Fm-3m. The size of the total moment comes out at 0.00 μB per formula unit.



The following is a DFT calculation (PBE-GGA) of a relaxed PmPaAu crystal.

The structure in POSCAR format:
```
PmPaAu
1.0
3.708 0.000 0.000
0.000 3.708 0.000
-1.854 -1.854 5.888
Pa Au Pm
1 1 1
Cartesian
0.000 0.000 3.640
1.854 1.854 5.104
1.854 1.854 1.266
```

As for the space group: I4mm. The size of the total moment comes out at 0.00 μB per formula unit. The calculation puts the energy of formation at -0.1329 eV/atom.



The following is a DFT calculation (PBE-GGA) of a relaxed PIrIO2 crystal.

The structure in POSCAR format:
```
PIrIO2
1.0
-1.093 -1.518 -3.264
3.260 -1.864 -0.225
-3.438 -6.515 4.180
I P Ir O
1 1 1 2
Cartesian
-1.719 -3.258 2.090
-0.635 -4.948 0.346
0.000 0.000 0.000
1.630 -0.932 -0.112
-0.546 -0.759 -1.632
```

Its total energy is -5.06 eV per atom. As for the space group: P4/mmm. The size of the total moment comes out at 0.00 μB per formula unit.



The following is a DFT calculation (PBE-GGA) of a relaxed KPrZrNbO6 crystal.

The structure in POSCAR format:
```
KPrZrNbO6
1.0
-3.639 -3.264 -3.183
-5.121 2.189 -1.735
-0.878 1.256 -5.628
K Pr Zr Nb O
1 1 1 1 6
Cartesian
-2.410 0.045 -2.637
-7.229 0.136 -7.910
-4.819 0.091 -5.273
0.000 0.000 0.000
-4.973 1.158 -3.473
-4.666 -0.977 -7.073
-5.420 1.797 -6.337
-4.219 -1.616 -4.210
-2.814 0.683 -5.454
-6.824 -0.502 -5.092
```

Its total energy is -8.18 eV per atom. As for the space group: F-43m. The size of the total moment comes out at 0.00 μB per formula unit.